[1]
! TbZrTlAg (GGA-PBE, optimized geometry); values from VASP
! **Formation energy from the elements**: -0.1261 eV/atom
! **Total moment**: 0.93 μB per cell
! **D(E_F)**: 2.7 states/eV/cell
! **Raw total energy**: -18.90 eV for the cell shown
&SYSTEM
  ibrav = 0, nat = 4, ntyp = 4
/
ATOMIC_SPECIES
Tb 158.93 Tb.upf
Zr 91.22 Zr.upf
Tl 204.38 Tl.upf
Ag 107.87 Ag.upf
CELL_PARAMETERS angstrom
0.0000 3.6254 3.6254
3.6254 0.0000 3.6254
3.6254 3.6254 0.0000
ATOMIC_POSITIONS crystal
Tb 0.0000 0.0000 0.0000
Zr 0.5000 0.5000 0.5000
Tl 0.7500 0.7500 0.7500
Ag 0.2500 0.2500 0.2500

[2]
! Tb4Tm5Ag (GGA-PBE, optimized geometry); values from VASP
! **Formation energy from the elements**: -0.0428 eV/atom
! **Total moment**: 0.00 μB per cell
! **D(E_F)**: 12.0 states/eV/cell
! **Raw total energy**: -44.16 eV for the cell shown
&SYSTEM
  ibrav = 0, nat = 10, ntyp = 3
/
ATOMIC_SPECIES
Tb 158.93 Tb.upf
Tm 168.93 Tm.upf
Ag 107.87 Ag.upf
CELL_PARAMETERS angstrom
3.5181 0.0000 0.0000
0.0000 3.5181 0.0000
0.0000 0.0000 23.8103
ATOMIC_POSITIONS crystal
Tb 0.0000 0.0000 0.1047
Tb 0.0000 0.0000 0.3143
Tb 0.0000 0.0000 0.6857
Tb 0.0000 0.0000 0.8953
Tm 0.5000 0.5000 0.0000
Tm 0.5000 0.5000 0.2100
Tm 0.5000 0.5000 0.4211
Tm 0.5000 0.5000 0.5789
Tm 0.5000 0.5000 0.7900
Ag 0.0000 0.0000 0.5000

[3]
! Tb2Tm3Ag3 (GGA-PBE, optimized geometry); values from VASP
! **Formation energy from the elements**: -0.2207 eV/atom
! **Total moment**: 0.00 μB per cell
! **D(E_F)**: 6.6 states/eV/cell
! **Raw total energy**: -32.99 eV for the cell shown
&SYSTEM
  ibrav = 0, nat = 8, ntyp = 3
/
ATOMIC_SPECIES
Tb 158.93 Tb.upf
Tm 168.93 Tm.upf
Ag 107.87 Ag.upf
CELL_PARAMETERS angstrom
-1.8261 2.5966 10.6690
1.8261 -2.5966 10.6690
1.8261 2.5966 -10.6690
ATOMIC_POSITIONS crystal
Tb 0.2315 0.2315 0.0000
Tb 0.7685 0.7685 0.0000
Tm 0.0000 0.0000 0.0000
Tm 0.3807 0.8807 0.5000
Tm 0.6193 0.1193 0.5000
Ag 0.1151 0.6151 0.5000
Ag 0.5000 0.5000 0.0000
Ag 0.8849 0.3849 0.5000

Question: Which of these has the lowest formation energy from the elements?
Answer: Tb2Tm3Ag3

Question: The highest formation energy from the elements belongs to which entry?
Answer: Tb4Tm5Ag

Question: The lowest D(E_F) belongs to which entry?
Answer: TbZrTlAg

What did the third record say?
! Tb2Tm3Ag3 (GGA-PBE, optimized geometry); values from VASP
! **Formation energy from the elements**: -0.2207 eV/atom
! **Total moment**: 0.00 μB per cell
! **D(E_F)**: 6.6 states/eV/cell
! **Raw total energy**: -32.99 eV for the cell shown
&SYSTEM
  ibrav = 0, nat = 8, ntyp = 3
/
ATOMIC_SPECIES
Tb 158.93 Tb.upf
Tm 168.93 Tm.upf
Ag 107.87 Ag.upf
CELL_PARAMETERS angstrom
-1.8261 2.5966 10.6690
1.8261 -2.5966 10.6690
1.8261 2.5966 -10.6690
ATOMIC_POSITIONS crystal
Tb 0.2315 0.2315 0.0000
Tb 0.7685 0.7685 0.0000
Tm 0.0000 0.0000 0.0000
Tm 0.3807 0.8807 0.5000
Tm 0.6193 0.1193 0.5000
Ag 0.1151 0.6151 0.5000
Ag 0.5000 0.5000 0.0000
Ag 0.8849 0.3849 0.5000